A plane-wave DFT calculation with PBE was carried out for a relaxed structure of Mg3BiCl.

- raw formation energy (kcal/mol of atoms) = -1.67
- relative energy among the computed polymorphs (eV/atom) = 0.000
- E_tot (eV for the cell shown) = -10.9

abc: 5.1162 5.1162 5.1162
angles: 90.00 90.00 90.00
Atoms (fractional coordinates):
Mg1 0.0000 0.5000 0.0000
Mg2 0.0000 0.0000 0.5000
Mg3 0.5000 0.0000 0.0000
Bi1 0.5000 0.5000 0.5000
Cl1 0.0000 0.0000 0.0000



A plane-wave DFT calculation with PBE was carried out for a relaxed structure of TaAlPb.

- formation energy from the elements (meV per atom) = 297.5
- relative energy among the computed polymorphs (eV/atom) = 0.000
- E_tot (eV for the cell shown) = -18.4

abc: 3.1516 3.1516 7.2767
angles: 90.00 90.00 120.00
Atoms (fractional coordinates):
Pb1 0.3333 0.6667 0.3384
Al1 0.0000 0.0000 0.9760
Ta1 0.6667 0.3333 0.6857



A plane-wave DFT calculation with PBE was carried out for a relaxed structure of YRe2Tc10.

- formation energy from the elements (meV per atom) = -14.8
- E_tot (eV for the cell shown) = -270.4

abc: 6.9077 6.9077 8.8536
angles: 90.00 90.00 97.90
Atoms (fractional coordinates):
Y1 0.8786 0.1214 0.7500
Y2 0.1214 0.8786 0.2500
Re1 0.5000 0.0000 0.0000
Re2 0.5000 0.0000 0.5000
Re3 0.0000 0.5000 0.5000
Re4 0.0000 0.5000 0.0000
Tc1 0.3810 0.1311 0.7500
Tc2 0.6190 0.8689 0.2500
Tc3 0.8689 0.6190 0.7500
Tc4 0.1311 0.3810 0.2500
Tc5 0.5274 0.7485 0.7500
Tc6 0.4726 0.2515 0.2500
Tc7 0.2515 0.4726 0.7500
Tc8 0.7485 0.5274 0.2500
Tc9 0.8317 0.1683 0.3953
Tc10 0.1683 0.8317 0.8953
Tc11 0.8317 0.1683 0.1047
Tc12 0.1683 0.8317 0.6047
Tc13 0.6067 0.3933 0.9327
Tc14 0.3933 0.6067 0.4327
Tc15 0.6067 0.3933 0.5673
Tc16 0.3933 0.6067 0.0673
Tc17 0.7801 0.7801 0.0000
Tc18 0.2199 0.2199 0.5000
Tc19 0.2199 0.2199 0.0000
Tc20 0.7801 0.7801 0.5000



A plane-wave DFT calculation with PBE was carried out for a relaxed structure of Rb4Np3GeTe8.

- raw formation energy (kcal/mol of atoms) = -18.23
- E_tot (eV for the cell shown) = -85.1

abc: 9.1871 9.9715 9.1869
angles: 117.44 120.00 90.00
Last column: magnetic moment on the atom in μB.
Atoms (fractional coordinates):
Rb1 0.5000 0.0000 0.0000  0.00
Rb2 0.5000 0.0000 0.5000  0.00
Rb3 0.0000 0.0000 0.0000  0.00
Rb4 0.0000 0.0000 0.5000  0.00
Np1 0.5000 0.5000 0.0000  3.85
Np2 0.5000 0.5000 0.5000  3.85
Np3 0.0000 0.5000 0.5000  3.85
Ge1 0.0000 0.5000 0.0000  0.00
Te1 0.2298 0.6931 0.9635  -0.07
Te2 0.2298 0.6932 0.4596  -0.07
Te3 0.2666 0.2999 0.5333  -0.08
Te4 0.7336 0.6931 0.9635  -0.07
Te5 0.2664 0.3069 0.0365  -0.07
Te6 0.7334 0.7001 0.4667  -0.08
Te7 0.7702 0.3068 0.5404  -0.07
Te8 0.7702 0.3069 0.0365  -0.07



A plane-wave DFT calculation with PBE was carried out for a relaxed structure of CrCdPt3.

- formation energy from the elements (meV per atom) = 708.3
- relative energy among the computed polymorphs (eV/atom) = 0.000
- E_tot (eV for the cell shown) = -25.1

abc: 4.6282 4.6282 4.6282
angles: 90.00 90.00 90.00
Atoms (fractional coordinates):
Cr1 0.0000 0.0000 0.0000
Pt1 0.0000 0.5000 0.0000
Pt2 0.0000 0.0000 0.5000
Pt3 0.5000 0.0000 0.0000
Cd1 0.5000 0.5000 0.5000



A plane-wave DFT calculation with PBE was carried out for a relaxed structure of KZr2Au.

- formation energy from the elements (meV per atom) = 446.5
- relative energy among the computed polymorphs (eV/atom) = 0.486
- E_tot (eV for the cell shown) = -19.7

abc: 6.6343 6.6343 3.0178
angles: 77.68 77.68 124.65
Atoms (fractional coordinates):
Au1 0.5000 0.0000 0.5000
K1 0.0000 0.5000 0.5000
Zr1 0.0000 0.0000 0.0000
Zr2 0.5000 0.5000 0.0000



A plane-wave DFT calculation with PBE was carried out for a relaxed structure of UI4.

- raw formation energy (kcal/mol of atoms) = -18.31
- E_tot (eV for the cell shown) = -42.9

abc: 8.9685 8.6634 8.9788
angles: 71.60 60.04 58.83
Last column: magnetic moment on the atom in μB.
Atoms (fractional coordinates):
U1 0.7501 0.0000 0.0000  2.20
U2 0.2499 0.0000 0.0000  2.20
I1 0.6904 0.7829 0.8363  -0.04
I2 0.1905 0.7826 0.8363  -0.04
I3 0.7718 0.2580 0.6989  -0.07
I4 0.2713 0.2580 0.6989  -0.07
I5 0.7287 0.7420 0.3011  -0.07
I6 0.2282 0.7420 0.3011  -0.07
I7 0.8095 0.2174 0.1637  -0.04
I8 0.3096 0.2171 0.1637  -0.04



A plane-wave DFT calculation with PBE was carried out for a relaxed structure of Be2RhAu.

- formation energy from the elements (meV per atom) = -258.2
- relative energy among the computed polymorphs (eV/atom) = 0.207
- E_tot (eV for the cell shown) = -19.1

abc: 5.4893 5.4893 5.4893
angles: 148.48 144.40 48.27
Atoms (fractional coordinates):
Rh1 0.4638 0.4638 0.0000
Au1 0.7120 0.2120 0.5000
Be1 0.0277 0.0277 0.0000
Be2 0.2965 0.7965 0.5000



Question: The highest E_tot belongs to which entry?
Answer: Mg3BiCl